This record from Alexandria via LeMat-Bulk describes an optimized crystal structure of YEr5Th. The functional is GGA-PBE.

a = 6.415 Å, b = 6.408 Å, c = 12.685 Å
α = 94.37°, β = 90.00°, γ = 120.04°
Fractional positions:
Er1 0.747 0.000 0.750
Er2 0.241 0.474 0.678
Er3 0.334 0.675 0.441
Th1 0.000 0.000 0.500
Th2 0.000 0.000 0.000
Er4 0.659 0.325 0.059
Er5 0.233 0.474 0.178
Er6 0.666 0.325 0.559
Er7 0.767 0.526 0.822
Y1 0.739 0.000 0.250
Y2 0.261 0.000 0.750
Er8 0.759 0.526 0.322
Er9 0.253 0.000 0.250
Er10 0.341 0.675 0.941

Values from the calculation:
The total energy is -70.4 eV per cell. The theoretical density comes out at 8.55 Mg/m³.